# LaDy3Ru

A geometry-optimized LaDy3Ru structure (PBE, Alexandria via LeMat-Bulk).

Cell: 5.427 5.427 5.427 Å, 90.00 90.00 90.00°
Positions (direct):
La 0.000 0.000 0.000
Dy 0.000 0.500 0.500
Dy 0.500 0.000 0.500
Dy 0.500 0.500 0.000
Ru 0.500 0.500 0.500

Computed properties:
V = 159.8 Å³/cell
Energy of formation from the pure elements = -0.5 eV per formula unit

=====

# HoBeGa

A geometry-optimized HoBeGa structure (PBE, Alexandria via LeMat-Bulk).

Cell: 4.162 4.162 3.616 Å, 90.00 90.00 120.00°
Positions (direct):
Ho 0.000 0.000 0.000
Be 0.333 0.667 0.500
Ga 0.667 0.333 0.500

Computed properties:
V = 54.2 Å³/cell
ΔE to the lowest computed polymorph = 0.03 eV/f.u.
Energy of formation from the pure elements = -1.2 eV per formula unit

=====

# TbEr8Tm2

A geometry-optimized TbEr8Tm2 structure (PBE, Alexandria via LeMat-Bulk).

Cell: 9.121 9.121 6.445 Å, 108.04 108.04 42.39°
Positions (direct):
Tb 0.000 0.000 0.000
Er 0.140 0.658 0.310
Er 0.210 0.210 0.334
Er 0.342 0.860 0.690
Er 0.439 0.439 0.757
Er 0.561 0.561 0.243
Er 0.658 0.140 0.310
Er 0.790 0.790 0.666
Er 0.860 0.342 0.690
Tm 0.279 0.279 0.897
Tm 0.721 0.721 0.103

Computed properties:
V = 340.9 Å³/cell
ΔE to the lowest computed polymorph = 0.45 eV/f.u.
Energy of formation from the pure elements = 2.2 eV per formula unit

=====

# NbTcPt2Pb

A geometry-optimized NbTcPt2Pb structure (PBE, Alexandria via LeMat-Bulk).

Cell: 4.870 4.870 5.379 Å, 90.00 90.00 90.00°
Positions (direct):
Nb 0.000 0.000 0.000
Tc 0.500 0.500 0.500
Pt 0.000 0.500 0.000
Pt 0.500 0.000 0.000
Pb 0.000 0.000 0.500

Computed properties:
V = 127.6 Å³/cell
Energy of formation from the pure elements = 6.8 eV per formula unit

=====

# K2CoP

A geometry-optimized K2CoP structure (PBE, Alexandria via LeMat-Bulk).

Cell: 4.952 4.952 4.657 Å, 90.00 90.00 116.52°
Positions (direct):
K 0.000 0.500 0.000
K 0.500 0.000 0.000
Co 0.000 0.000 0.500
P 0.500 0.500 0.500

Computed properties:
V = 102.2 Å³/cell
Energy of formation from the pure elements = 2.4 eV per formula unit

=====

# SmHo2In

A geometry-optimized SmHo2In structure (PBE, Alexandria via LeMat-Bulk).

Cell: 11.089 11.089 11.089 Å, 18.63 18.63 18.63°
Positions (direct):
Sm 0.000 0.000 0.000
Ho 0.577 0.577 0.577
Ho 0.756 0.756 0.756
In 0.167 0.167 0.167

Computed properties:
V = 121.6 Å³/cell
ΔE to the lowest computed polymorph = 0.51 eV/f.u.
Energy of formation from the pure elements = -0.5 eV per formula unit